[1]
# MnP2Rh (PBE, optimized geometry)
data_MnP2Rh
_cell_length_a 5.846
_cell_length_b 5.846
_cell_length_c 5.846
_cell_angle_alpha 90.00
_cell_angle_beta 90.00
_cell_angle_gamma 90.00
_symmetry_space_group_name_H-M 'F m -3 m'
_symmetry_Int_Tables_number 225
_symmetry_space_group_name_Hall '-F 4 2 3'
loop_
_atom_site_label
_atom_site_fract_x
_atom_site_fract_y
_atom_site_fract_z
Mn1 0.000 0.000 0.000
P1 0.250 0.250 0.250
Rh1 0.000 0.000 0.500
# - DFT formation energy: -17 kJ/mol of atoms
# - VASP energy: -7.0149 eV/atom

=====

[2]
# MnPRh (PBE, optimized geometry)
data_MnPRh
_cell_length_a 6.2303
_cell_length_b 6.2303
_cell_length_c 3.5677
_cell_angle_alpha 90.00
_cell_angle_beta 90.00
_cell_angle_gamma 120.00
_symmetry_space_group_name_H-M 'P -6 2 m'
_symmetry_Int_Tables_number 189
_symmetry_space_group_name_Hall 'P -6 -2'
loop_
_atom_site_label
_atom_site_fract_x
_atom_site_fract_y
_atom_site_fract_z
Mn1 0.0000 0.5993 0.0000
P1 0.0000 0.0000 0.0000
P2 0.3333 0.6667 0.5000
Rh1 0.0000 0.2652 0.5000
# - DFT formation energy: -57 kJ/mol of atoms
# - VASP energy: -7.8989 eV/atom

=====

[3]
# MnPRh (PBE, optimized geometry)
data_MnPRh
_cell_length_a 2.810
_cell_length_b 2.810
_cell_length_c 9.283
_cell_angle_alpha 90.00
_cell_angle_beta 90.00
_cell_angle_gamma 90.00
_symmetry_space_group_name_H-M 'I 4 m m'
_symmetry_Int_Tables_number 107
_symmetry_space_group_name_Hall 'I 4 -2'
loop_
_atom_site_label
_atom_site_fract_x
_atom_site_fract_y
_atom_site_fract_z
Mn1 0.000 0.000 0.000
P1 0.000 0.000 0.375
Rh1 0.000 0.000 0.706
# - DFT formation energy: -25 kJ/mol of atoms
# - VASP energy: -7.5678 eV/atom

=====

[4]
# MnP2Rh (PBE, optimized geometry)
data_MnP2Rh
_cell_length_a 2.8426
_cell_length_b 2.8426
_cell_length_c 21.3743
_cell_angle_alpha 90.00
_cell_angle_beta 90.00
_cell_angle_gamma 120.00
_symmetry_space_group_name_H-M 'R -3 m'
_symmetry_Int_Tables_number 166
_symmetry_space_group_name_Hall '-R 3 2"'
loop_
_atom_site_label
_atom_site_fract_x
_atom_site_fract_y
_atom_site_fract_z
Mn1 0.0000 0.0000 0.0000
P1 0.0000 0.0000 0.2563
Rh1 0.0000 0.0000 0.5000
# - DFT formation energy: -28 kJ/mol of atoms
# - VASP energy: -7.1230 eV/atom

=====

[5]
# MnP2Rh (PBE, optimized geometry)
data_MnP2Rh
_cell_length_a 2.776
_cell_length_b 3.318
_cell_length_c 11.319
_cell_angle_alpha 90.00
_cell_angle_beta 90.00
_cell_angle_gamma 90.00
_symmetry_space_group_name_H-M 'I m m 2'
_symmetry_Int_Tables_number 44
_symmetry_space_group_name_Hall 'I 2 -2'
loop_
_atom_site_label
_atom_site_fract_x
_atom_site_fract_y
_atom_site_fract_z
Mn1 0.000 0.000 0.000
P1 0.000 0.000 0.427
P2 0.000 0.500 0.662
Rh1 0.000 0.500 0.265
# - DFT formation energy: -35 kJ/mol of atoms
# - VASP energy: -7.1955 eV/atom

=====

[6]
# MnPRh (PBE, optimized geometry)
data_MnPRh
_cell_length_a 2.7490
_cell_length_b 2.7490
_cell_length_c 5.6889
_cell_angle_alpha 90.00
_cell_angle_beta 90.00
_cell_angle_gamma 120.00
_symmetry_space_group_name_H-M 'P 3 m 1'
_symmetry_Int_Tables_number 156
_symmetry_space_group_name_Hall 'P 3 -2"'
loop_
_atom_site_label
_atom_site_fract_x
_atom_site_fract_y
_atom_site_fract_z
Mn1 0.0000 0.0000 0.0000
P1 0.6667 0.3333 0.2833
Rh1 0.3333 0.6667 0.6168
# - DFT formation energy: -14 kJ/mol of atoms
# - VASP energy: -7.4522 eV/atom

=====

[7]
# Mn3PRh (PBE, optimized geometry)
data_Mn3PRh
_cell_length_a 4.077
_cell_length_b 4.077
_cell_length_c 4.077
_cell_angle_alpha 90.00
_cell_angle_beta 90.00
_cell_angle_gamma 90.00
_symmetry_space_group_name_H-M 'P m -3 m'
_symmetry_Int_Tables_number 221
_symmetry_space_group_name_Hall '-P 4 2 3'
loop_
_atom_site_label
_atom_site_fract_x
_atom_site_fract_y
_atom_site_fract_z
Mn1 0.000 0.000 0.500
P1 0.000 0.000 0.000
Rh1 0.500 0.500 0.500
# - DFT formation energy: 57 kJ/mol of atoms
# - VASP energy: -7.4652 eV/atom

=====

[8]
# MnP2Rh (PBE, optimized geometry)
data_MnP2Rh
_cell_length_a 7.612
_cell_length_b 3.045
_cell_length_c 4.675
_cell_angle_alpha 90.00
_cell_angle_beta 103.11
_cell_angle_gamma 90.00
_symmetry_space_group_name_H-M 'C 1 m 1'
_symmetry_Int_Tables_number 8
_symmetry_space_group_name_Hall 'C -2y'
loop_
_atom_site_label
_atom_site_fract_x
_atom_site_fract_y
_atom_site_fract_z
Mn1 0.000 0.000 0.000
P1 0.022 0.500 0.638
P2 0.291 0.000 0.035
Rh1 0.280 0.500 0.425
# - DFT formation energy: -41 kJ/mol of atoms
# - VASP energy: -7.2599 eV/atom

=====

[9]
# MnP2Rh (PBE, optimized geometry)
data_MnP2Rh
_cell_length_a 5.119
_cell_length_b 5.119
_cell_length_c 10.331
_cell_angle_alpha 90.00
_cell_angle_beta 90.00
_cell_angle_gamma 90.00
_symmetry_space_group_name_H-M 'I -4 2 d'
_symmetry_Int_Tables_number 122
_symmetry_space_group_name_Hall 'I -4 2bw'
loop_
_atom_site_label
_atom_site_fract_x
_atom_site_fract_y
_atom_site_fract_z
Mn1 0.000 0.000 0.000
P1 0.231 0.250 0.125
Rh1 0.000 0.000 0.500
# - DFT formation energy: -20 kJ/mol of atoms
# - VASP energy: -7.0450 eV/atom

=====

[10]
# MnP2Rh (PBE, optimized geometry)
data_MnP2Rh
_cell_length_a 2.9925
_cell_length_b 2.9925
_cell_length_c 21.3593
_cell_angle_alpha 90.00
_cell_angle_beta 90.00
_cell_angle_gamma 120.00
_symmetry_space_group_name_H-M 'R 3 m'
_symmetry_Int_Tables_number 160
_symmetry_space_group_name_Hall 'R 3 -2"'
loop_
_atom_site_label
_atom_site_fract_x
_atom_site_fract_y
_atom_site_fract_z
Mn1 0.0000 0.0000 0.0000
P1 0.0000 0.0000 0.4909
P2 0.0000 0.0000 0.7361
Rh1 0.0000 0.0000 0.2308
# - DFT formation energy: -12 kJ/mol of atoms
# - VASP energy: -6.9587 eV/atom

=====

[11]
# MnPRh (PBE, optimized geometry)
data_MnPRh
_cell_length_a 4.0098
_cell_length_b 4.0098
_cell_length_c 2.9426
_cell_angle_alpha 90.00
_cell_angle_beta 90.00
_cell_angle_gamma 120.00
_symmetry_space_group_name_H-M 'P -6 m 2'
_symmetry_Int_Tables_number 187
_symmetry_space_group_name_Hall 'P -6 2'
loop_
_atom_site_label
_atom_site_fract_x
_atom_site_fract_y
_atom_site_fract_z
Mn1 0.0000 0.0000 0.0000
P1 0.6667 0.3333 0.5000
Rh1 0.3333 0.6667 0.5000
# - DFT formation energy: -39 kJ/mol of atoms
# - VASP energy: -7.7179 eV/atom

=====

[12]
# MnPRh (PBE, optimized geometry)
data_MnPRh
_cell_length_a 5.504
_cell_length_b 5.504
_cell_length_c 5.504
_cell_angle_alpha 90.00
_cell_angle_beta 90.00
_cell_angle_gamma 90.00
_symmetry_space_group_name_H-M 'F -4 3 m'
_symmetry_Int_Tables_number 216
_symmetry_space_group_name_Hall 'F -4 2 3'
loop_
_atom_site_label
_atom_site_fract_x
_atom_site_fract_y
_atom_site_fract_z
Mn1 0.000 0.000 0.000
P1 0.250 0.250 0.250
Rh1 0.000 0.000 0.500
# - DFT formation energy: -48 kJ/mol of atoms
# - VASP energy: -7.8099 eV/atom

=====

[13]
# Mn3PRh (PBE, optimized geometry)
data_Mn3PRh
_cell_length_a 4.752
_cell_length_b 4.752
_cell_length_c 4.752
_cell_angle_alpha 90.00
_cell_angle_beta 90.00
_cell_angle_gamma 90.00
_symmetry_space_group_name_H-M 'P m -3 m'
_symmetry_Int_Tables_number 221
_symmetry_space_group_name_Hall '-P 4 2 3'
loop_
_atom_site_label
_atom_site_fract_x
_atom_site_fract_y
_atom_site_fract_z
Mn1 0.000 0.000 0.500
P1 0.500 0.500 0.500
Rh1 0.000 0.000 0.000
# - DFT formation energy: 100 kJ/mol of atoms
# - VASP energy: -7.0175 eV/atom

=====

[14]
# MnP2Rh (PBE, optimized geometry)
data_MnP2Rh
_cell_length_a 3.474
_cell_length_b 3.474
_cell_length_c 8.799
_cell_angle_alpha 90.00
_cell_angle_beta 90.00
_cell_angle_gamma 90.00
_symmetry_space_group_name_H-M 'I -4 m 2'
_symmetry_Int_Tables_number 119
_symmetry_space_group_name_Hall 'I -4 -2'
loop_
_atom_site_label
_atom_site_fract_x
_atom_site_fract_y
_atom_site_fract_z
Mn1 0.000 0.000 0.000
P1 0.000 0.000 0.500
P2 0.000 0.500 0.750
Rh1 0.000 0.500 0.250
# - DFT formation energy: -9 kJ/mol of atoms
# - VASP energy: -6.9326 eV/atom

=====

[15]
# MnPRh (PBE, optimized geometry)
data_MnPRh
_cell_length_a 2.973
_cell_length_b 3.762
_cell_length_c 7.314
_cell_angle_alpha 90.00
_cell_angle_beta 90.00
_cell_angle_gamma 90.00
_symmetry_space_group_name_H-M 'I m m 2'
_symmetry_Int_Tables_number 44
_symmetry_space_group_name_Hall 'I 2 -2'
loop_
_atom_site_label
_atom_site_fract_x
_atom_site_fract_y
_atom_site_fract_z
Mn1 0.000 0.000 0.000
P1 0.000 0.000 0.322
Rh1 0.000 0.000 0.653
# - DFT formation energy: -18 kJ/mol of atoms
# - VASP energy: -7.4928 eV/atom